A plane-wave DFT calculation with PBE with a Hubbard U was carried out for RbVF3 after structural relaxation.

```
RbVF3
1.0
-0.716 0.394 7.879
-6.007 4.026 3.234
-5.864 -3.884 3.643
V Rb F
4 4 12
Direct
0.125 0.125 0.125
0.125 0.625 0.125
0.625 0.125 0.125
0.125 0.125 0.625
0.625 0.625 0.625
0.625 0.125 0.625
0.125 0.625 0.625
0.625 0.625 0.125
0.802 0.198 0.198
0.052 0.448 0.448
0.448 0.448 0.052
0.448 0.052 0.052
0.052 0.448 0.052
0.802 0.198 0.802
0.448 0.052 0.448
0.052 0.052 0.448
0.198 0.802 0.198
0.198 0.802 0.802
0.198 0.198 0.802
0.802 0.802 0.198
```

Computed properties:
DFT total energy in eV/atom: -5.476